## Li2IrW (PBE)

Data for a geometry-optimized Li2IrW structure.

Output
The formation energy is 0.1976 eV per atom. The value obtained for the final energy is -49.7 eV for the cell shown. The value obtained for the total magnetization is 0.000 μB/f.u.

Cell: 3.6054 3.6054 9.2003 Å, 90.00 90.00 90.00°
With the nearest neighbours (Å) after each atom.
Space group I4/mmm (No. 139)
Asymmetric unit:
1 Li 0.0000 0.5000 0.2500 [4 per cell]  4 Li 2.55
2 Ir 0.0000 0.0000 0.0000 [2 per cell]  4 W 2.55
3 W 0.0000 0.0000 0.5000 [2 per cell]  4 Ir 2.55


## K3BaPd8 (PBE)

Data for a geometry-optimized K3BaPd8 structure.

Output
The formation energy is -0.1895 eV per atom. The value obtained for the final energy is -147.1 eV for the cell shown. The value obtained for the total magnetization is 0.000 μB/f.u.

Cell: 5.6418 5.6418 27.6283 Å, 90.00 90.00 120.00°
With the nearest neighbours (Å) after each atom.
Space group R3m (No. 160, hexagonal axes)
Asymmetric unit:
1 K 0.0000 0.0000 0.0000 [3 per cell]  12 Pd 3.30-3.32, 4 K 3.38-3.42
2 K 0.0000 0.0000 0.1222 [3 per cell]  12 Pd 3.26-3.39, 1 K 3.38, 3 Ba 3.49
3 K 0.0000 0.0000 0.6288 [3 per cell]  12 Pd 3.24-3.35, 3 K 3.42, 1 Ba 3.52
4 Ba 0.0000 0.0000 0.5014 [3 per cell]  12 Pd 3.30-3.32, 4 K 3.49-3.52
5 Pd 0.0000 0.0000 0.3131 [3 per cell]  6 Pd 2.82
6 Pd 0.0000 0.0000 0.8131 [3 per cell]  6 Pd 2.82
7 Pd 0.0008 0.5004 0.0634 [9 per cell]  6 Pd 2.81-2.83
8 Pd 0.1671 0.3342 0.8964 [9 per cell]  6 Pd 2.81-2.83


## ZrCrSb3 (PBE)

Data for a geometry-optimized ZrCrSb3 structure.

Output
As for the offset from the most stable computed form: 0.0 kJ per mole of atoms. As for the uncorrected formation energy: 0.55 eV per atom. The value obtained for the final energy is -27.8 eV for the cell shown. The value obtained for the total magnetization is 3.686 μB/f.u.

Cell: 5.0762 5.0762 5.0762 Å, 90.00 90.00 90.00°
With the nearest neighbours (Å) after each atom.
Space group Pm-3m (No. 221)
Asymmetric unit:
1 Zr 0.0000 0.0000 0.0000 [1 per cell]  12 Sb 3.59
2 Cr 0.5000 0.5000 0.5000 [1 per cell]  6 Sb 2.54
3 Sb 0.0000 0.5000 0.5000 [3 per cell]  2 Cr 2.54


## TlInGaSe3 (PBE)

Data for a geometry-optimized TlInGaSe3 structure.

Output
As for the uncorrected formation energy: -0.44 eV per atom. The value obtained for the final energy is -42.5 eV for the cell shown. The value obtained for the total magnetization is 0.000 μB/f.u.

Cell: 8.5987 4.2974 9.9206 Å, 90.00 106.07 90.00°
With the nearest neighbours (Å) after each atom.
Space group P2_1/m (No. 11)
Asymmetric unit:
1 Tl 0.2220 0.2500 0.2342 [2 per cell]  5 Se 3.18-3.51
2 In 0.3359 0.7500 0.8859 [2 per cell]  5 Se 2.73-2.93
3 Ga 0.0887 0.2500 0.6189 [2 per cell]  4 Se 2.43-2.55
4 Se 0.0997 0.2500 0.8666 [2 per cell]  1 Ga 2.43
5 Se 0.1980 0.7500 0.5442 [2 per cell]  3 Ga 2.54-2.55
6 Se 0.4655 0.7500 0.1705 [2 per cell]  3 In 2.73-2.89


## Tb3ZrH (PBE)

Data for a geometry-optimized Tb3ZrH structure.

Output
The value obtained for the final energy is -26.2 eV for the cell shown. The value obtained for the total magnetization is 0.000 μB/f.u.

Cell: 4.8819 4.8819 4.8819 Å, 90.00 90.00 90.00°
With the nearest neighbours (Å) after each atom.
Space group Pm-3m (No. 221)
Asymmetric unit:
1 Tb 0.0000 0.0000 0.5000 [3 per cell]  2 H 2.44
2 Zr 0.5000 0.5000 0.5000 [1 per cell]  12 Tb 3.45
3 H 0.0000 0.0000 0.0000 [1 per cell]  6 Tb 2.44


## MgPt2Pb (PBE)

Data for a geometry-optimized MgPt2Pb structure.

Output
The formation energy is -0.2222 eV per atom. The value obtained for the final energy is -73.1 eV for the cell shown. The value obtained for the total magnetization is 0.000 μB/f.u.

Cell: 6.6795 6.6795 6.6795 Å, 90.00 90.00 90.00°
With the nearest neighbours (Å) after each atom.
Space group F-43m (No. 216)
Asymmetric unit:
1 Mg 0.0000 0.0000 0.0000 [4 per cell]  4 Pb 2.89, 4 Pt 2.89
2 Pt 0.0000 0.0000 0.5000 [4 per cell]  4 Pb 2.89, 4 Pt 2.89
3 Pt 0.2500 0.2500 0.2500 [4 per cell]  4 Pt 2.89, 4 Mg 2.89
4 Pb 0.2500 0.2500 0.7500 [4 per cell]  4 Mg 2.89, 4 Pt 2.89


## FeRh2Cl (PBE)

Data for a geometry-optimized FeRh2Cl structure.

Output
As for the uncorrected formation energy: 0.50 eV per atom. The value obtained for the final energy is -46.0 eV for the cell shown. The value obtained for the total magnetization is 4.922 μB/f.u.

Cell: 6.0205 6.6568 2.9153 Å, 90.00 90.00 90.00°
With the nearest neighbours (Å) after each atom.
Space group Cmmm (No. 65)
Asymmetric unit:
1 Fe 0.0000 0.0000 0.0000 [2 per cell]  8 Rh 2.68, 2 Fe 2.92
2 Rh 0.2500 0.2500 0.5000 [4 per cell]  4 Cl 2.68, 4 Fe 2.68, 2 Rh 2.92
3 Cl 0.0000 0.5000 0.0000 [2 per cell]  8 Rh 2.68, 2 Cl 2.92


## PuTl2I6 (PBE)

Data for a geometry-optimized PuTl2I6 structure.

Output
As for the offset from the most stable computed form: 0.0 kJ per mole of atoms. As for the uncorrected formation energy: -0.79 eV per atom. The value obtained for the final energy is -71.0 eV for the cell shown. The value obtained for the total magnetization is 4.000 μB/f.u.

Cell: 8.1011 8.6928 13.7105 Å, 90.00 122.43 90.00°
With the nearest neighbours (Å) after each atom.
Space group P2_1/c (No. 14)
Asymmetric unit:
1 Pu 0.0000 0.0000 0.0000 [2 per cell]  6 I 3.00-3.03
2 Tl 0.3095 0.1003 0.7723 [4 per cell]  7 I 3.52-3.78
3 I 0.1251 0.0256 0.2487 [4 per cell]  1 Pu 3.00
4 I 0.2294 0.7066 0.0562 [4 per cell]  1 Pu 3.00
5 I 0.3529 0.1859 0.0500 [4 per cell]  1 Pu 3.03